<a>
{"formula": "NiOs3Rh", "functional": "PBE", "state": "relaxed", "volume_a3_per_fu": 83, "space_group": "No. 221", "cell": [[4.3568, 0.0000, 0.0000], [0.0000, 4.3568, 0.0000], [0.0000, 0.0000, 4.3568]], "species": ["Ni", "Os", "Os", "Os", "Rh"], "fractional_positions": [[0.0000, 0.0000, 0.0000], [0.0000, 0.0000, 0.5000], [0.0000, 0.5000, 0.0000], [0.5000, 0.0000, 0.0000], [0.5000, 0.5000, 0.5000]]}

<b>
{"formula": "NiOs3Rh", "functional": "PBE", "state": "relaxed", "volume_a3_per_fu": 100, "space_group": "No. 221", "cell": [[4.6361, 0.0000, 0.0000], [0.0000, 4.6361, 0.0000], [0.0000, 0.0000, 4.6361]], "species": ["Ni", "Os", "Os", "Os", "Rh"], "fractional_positions": [[0.0000, 0.0000, 0.0000], [0.0000, 0.5000, 0.5000], [0.5000, 0.0000, 0.5000], [0.5000, 0.5000, 0.0000], [0.5000, 0.5000, 0.5000]]}

Stability verdict: <a>, ahead by 0.816 eV/atom

<a>
{"formula": "VNiOsRh", "functional": "PBE", "state": "relaxed", "volume_a3_per_fu": 52, "space_group": "No. 47", "cell": [[3.5704, 0.0000, 0.0000], [0.0000, 3.7867, 0.0000], [0.0000, 0.0000, 3.8772]], "species": ["V", "Ni", "Os", "Rh"], "fractional_positions": [[0.0000, 0.0000, 0.0000], [0.0000, 0.5000, 0.5000], [0.5000, 0.5000, 0.0000], [0.5000, 0.0000, 0.5000]]}

<b>
{"formula": "VNiOsRh", "functional": "PBE", "state": "relaxed", "volume_a3_per_fu": 53, "space_group": "No. 216", "cell": [[0.0000, 2.9784, 2.9784], [2.9784, 0.0000, 2.9784], [2.9784, 2.9784, 0.0000]], "species": ["V", "Ni", "Os", "Rh"], "fractional_positions": [[0.0000, 0.0000, 0.0000], [0.5000, 0.5000, 0.5000], [0.7500, 0.7500, 0.7500], [0.2500, 0.2500, 0.2500]]}

Stability verdict: <a>, ahead by 0.119 eV/atom

<a>
{"formula": "NiOsRu", "functional": "PBE", "state": "relaxed", "volume_a3_per_fu": 40, "space_group": "No. 12", "cell": [[4.1757, -1.8758, 0.0000], [4.1757, 1.8758, 0.0000], [-1.6651, 0.0000, 5.0475]], "species": ["Ni", "Ni", "Os", "Os", "Ru", "Ru"], "fractional_positions": [[0.1642, 0.1642, 0.3300], [0.8358, 0.8358, 0.6700], [0.5000, 0.5000, 0.0000], [0.5000, 0.5000, 0.5000], [0.1630, 0.1630, 0.8250], [0.8370, 0.8370, 0.1750]]}

<b>
{"formula": "NiOsRu", "functional": "PBE", "state": "relaxed", "volume_a3_per_fu": 40, "space_group": "No. 8", "cell": [[4.1973, -1.8756, 0.0000], [4.1973, 1.8756, 0.0000], [-1.6479, 0.0000, 5.0335]], "species": ["Ni", "Ni", "Os", "Os", "Ru", "Ru"], "fractional_positions": [[0.0000, 0.0000, 0.0000], [0.6748, 0.6748, 0.3420], [0.3371, 0.3371, 0.6688], [0.6730, 0.6730, 0.8419], [0.0049, 0.0049, 0.5044], [0.3329, 0.3329, 0.1693]]}

Stability verdict: <a>, ahead by 0.007 eV/atom

<a>
{"formula": "NiOsRu", "functional": "PBE", "state": "relaxed", "volume_a3_per_fu": 39, "space_group": "No. 44", "cell": [[-1.3519, 1.8475, 3.9417], [1.3519, -1.8475, 3.9417], [1.3519, 1.8475, -3.9417]], "species": ["Ni", "Os", "Ru"], "fractional_positions": [[0.0000, 0.0000, 0.0000], [0.3342, 0.3342, 0.0000], [0.6693, 0.6693, 0.0000]]}

<b>
{"formula": "NiOsRu", "functional": "PBE", "state": "relaxed", "volume_a3_per_fu": 40, "space_group": "No. 11", "cell": [[2.6984, 0.0000, 0.0000], [0.0000, 3.7532, 0.0000], [-0.0058, 0.0000, 7.8579]], "species": ["Ni", "Ni", "Os", "Os", "Ru", "Ru"], "fractional_positions": [[0.2486, 0.2500, 0.0764], [0.7514, 0.7500, 0.9236], [0.2496, 0.2500, 0.4086], [0.7504, 0.7500, 0.5914], [0.2520, 0.2500, 0.7554], [0.7480, 0.7500, 0.2446]]}

<c>
{"formula": "NiOsRu", "functional": "PBE", "state": "relaxed", "volume_a3_per_fu": 40, "space_group": "No. 187", "cell": [[4.1695, 0.0000, 0.0000], [-2.0848, 3.6109, 0.0000], [0.0000, 0.0000, 2.6492]], "species": ["Ni", "Os", "Ru"], "fractional_positions": [[0.0000, 0.0000, 0.0000], [0.3333, 0.6667, 0.0000], [0.6667, 0.3333, 0.5000]]}

Stability verdict: <a>, ahead by 0.059 eV/atom

<a>
{"formula": "NiOsRu", "functional": "PBE", "state": "relaxed", "volume_a3_per_fu": 41, "space_group": "No. 42", "cell": [[0.0000, 2.2522, 6.6576], [1.3691, 0.0000, 6.6576], [1.3691, 2.2522, 0.0000]], "species": ["Ni", "Os", "Ru"], "fractional_positions": [[0.0000, 0.0000, 0.0000], [0.6634, 0.6634, 0.3366], [0.3348, 0.3348, 0.6652]]}

<b>
{"formula": "NiOsRu", "functional": "PBE", "state": "relaxed", "volume_a3_per_fu": 39, "space_group": "No. 5", "cell": [[3.9829, -2.2991, 0.0000], [3.9829, 2.2991, 0.0000], [-2.8020, 0.0000, 4.2953]], "species": ["Ni", "Ni", "Os", "Os", "Ru", "Ru"], "fractional_positions": [[0.0000, 0.0000, 0.0000], [0.8312, 0.1688, 0.5000], [0.3332, 0.3270, 0.9982], [0.6730, 0.6668, 0.0018], [0.1633, 0.5003, 0.5008], [0.4997, 0.8367, 0.4992]]}

Stability verdict: <b>, ahead by 0.430 eV/atom

<a>
{"formula": "Ni2OsRu", "functional": "PBE", "state": "relaxed", "volume_a3_per_fu": 52, "space_group": "No. 216", "cell": [[0.0000, 2.9556, 2.9556], [2.9556, 0.0000, 2.9556], [2.9556, 2.9556, 0.0000]], "species": ["Ni", "Ni", "Os", "Ru"], "fractional_positions": [[0.0000, 0.0000, 0.0000], [0.2500, 0.2500, 0.2500], [0.7500, 0.7500, 0.7500], [0.5000, 0.5000, 0.5000]]}

<b>
{"formula": "Ni2OsRu", "functional": "PBE", "state": "relaxed", "volume_a3_per_fu": 51, "space_group": "No. 25", "cell": [[2.6745, 0.0000, 0.0000], [0.0000, 3.6764, 0.0000], [0.0000, 0.0000, 5.1431]], "species": ["Ni", "Ni", "Os", "Ru"], "fractional_positions": [[0.0000, 0.0000, 0.0000], [0.5000, 0.5000, 0.2281], [0.5000, 0.5000, 0.7408], [0.0000, 0.0000, 0.4927]]}

<c>
{"formula": "Ni2OsRu", "functional": "PBE", "state": "relaxed", "volume_a3_per_fu": 50, "space_group": "No. 119", "cell": [[-1.8265, 1.8265, 3.7539], [1.8265, -1.8265, 3.7539], [1.8265, 1.8265, -3.7539]], "species": ["Ni", "Ni", "Os", "Ru"], "fractional_positions": [[0.0000, 0.0000, 0.0000], [0.7500, 0.2500, 0.5000], [0.5000, 0.5000, 0.0000], [0.2500, 0.7500, 0.5000]]}

<d>
{"formula": "Ni2OsRu", "functional": "PBE", "state": "relaxed", "volume_a3_per_fu": 51, "space_group": "No. 99", "cell": [[2.6670, 0.0000, 0.0000], [0.0000, 2.6670, 0.0000], [0.0000, 0.0000, 7.1154]], "species": ["Ni", "Ni", "Os", "Ru"], "fractional_positions": [[0.0000, 0.0000, 0.0000], [0.5000, 0.5000, 0.2330], [0.0000, 0.0000, 0.4825], [0.5000, 0.5000, 0.7473]]}

Stability verdict: <b>, ahead by 0.008 eV/atom